1.
# Tb3PdRh

A relaxed structure of Tb3PdRh (GGA-PBE, Alexandria via LeMat-Bulk).

a b c (Å): 5.656 6.870 7.239
angles (deg): 80.13 89.07 66.45
Space group P-1 (No. 2)
Asymmetric unit:
Tb 0.055 0.169 0.150
Tb 0.288 0.166 0.666
Tb 0.400 0.495 0.242
Pd 0.219 0.816 0.485
Rh 0.431 0.825 0.981

Summary:
- calculated total energy (eV per formula unit) = -29.81
- energy above the most stable polymorph in this dataset (meV/atom) = 42

2.
# Sn5Hg3O12

A relaxed structure of Sn5Hg3O12 (GGA-PBE, Alexandria via LeMat-Bulk).

a b c (Å): 13.452 13.452 13.452
angles (deg): 90.00 90.00 90.00
Space group Ia-3d (No. 230)
Asymmetric unit:
Sn 0.000 0.000 0.000
Sn 0.000 0.250 0.375
Hg 0.000 0.250 0.125
O 0.027 0.046 0.648

Summary:
- calculated total energy (eV per formula unit) = -101.94
- uncorrected formation energy (meV per atom) = -1076

3.
# LiAl6Zn8

A relaxed structure of LiAl6Zn8 (GGA-PBE, Alexandria via LeMat-Bulk).

a b c (Å): 7.5958 7.5958 5.0283
angles (deg): 90.00 90.00 120.00
Space group P-3 (No. 147)
Asymmetric unit:
Li 0.0000 0.0000 0.0000
Al 0.1361 0.4371 0.0809
Zn 0.0016 0.6825 0.4127
Zn 0.3333 0.6667 0.6159

Summary:
- calculated total energy (eV per formula unit) = -33.81

4.
# Y3Tm2Tl2

A relaxed structure of Y3Tm2Tl2 (GGA-PBE, Alexandria via LeMat-Bulk).

a b c (Å): 4.991 23.335 3.490
angles (deg): 90.00 90.00 90.00
Space group Cmmm (No. 65)
Asymmetric unit:
Y 0.000 0.000 0.000
Y 0.000 0.147 0.000
Tm 0.000 0.286 0.500
Tl 0.000 0.427 0.500

Summary:
- calculated total energy (eV per formula unit) = -33.81
- energy above the most stable polymorph in this dataset (meV/atom) = 89

5.
# Er6ZnIr5

A relaxed structure of Er6ZnIr5 (GGA-PBE, Alexandria via LeMat-Bulk).

a b c (Å): 4.751 14.281 7.052
angles (deg): 90.00 90.00 90.00
Space group Cmmm (No. 65)
Asymmetric unit:
Er 0.000 0.000 0.243
Er 0.000 0.330 0.248
Zn 0.000 0.500 0.500
Ir 0.000 0.162 0.500
Ir 0.000 0.168 0.000
Ir 0.000 0.500 0.000

Summary:
- calculated total energy (eV per formula unit) = -82.69

6.
# MnNbRh4

A relaxed structure of MnNbRh4 (GGA-PBE, Alexandria via LeMat-Bulk).

a b c (Å): 2.770 4.408 7.493
angles (deg): 90.00 90.00 90.00
Space group Pmmm (No. 47)
Asymmetric unit:
Mn 0.000 0.000 0.000
Nb 0.000 0.500 0.500
Rh 0.500 0.000 0.329
Rh 0.500 0.500 0.165

Summary:
- calculated total energy (eV per formula unit) = -48.96

7.
# CsMnBiCl6

A relaxed structure of CsMnBiCl6 (GGA-PBE, Alexandria via LeMat-Bulk).

a b c (Å): 6.9609 6.9609 7.7204
angles (deg): 90.00 90.00 120.00
Space group P312 (No. 149)
Asymmetric unit:
Cs 0.0000 0.0000 0.0000
Mn 0.6667 0.3333 0.5000
Bi 0.3333 0.6667 0.5000
Cl 0.3885 0.0199 0.3051

Summary:
- calculated total energy (eV per formula unit) = -36.63
- uncorrected formation energy (meV per atom) = -1294

8.
# PaGaAu

A relaxed structure of PaGaAu (GGA-PBE, Alexandria via LeMat-Bulk).

a b c (Å): 3.289 3.289 11.384
angles (deg): 90.00 90.00 90.00
Space group I4mm (No. 107)
Asymmetric unit:
Pa 0.000 0.000 0.000
Ga 0.000 0.000 0.320
Au 0.000 0.000 0.686

Summary:
- calculated total energy (eV per formula unit) = -16.57

9.
# NaSr2AgPd

A relaxed structure of NaSr2AgPd (GGA-PBE, Alexandria via LeMat-Bulk).

a b c (Å): 5.877 5.877 5.267
angles (deg): 90.00 90.00 90.00
Space group P4/mmm (No. 123)
Asymmetric unit:
Na 0.000 0.000 0.000
Sr 0.000 0.500 0.500
Ag 0.500 0.500 0.000
Pd 0.500 0.500 0.500

Summary:
- calculated total energy (eV per formula unit) = -13.50

10.
# AcAs2Ir2

A relaxed structure of AcAs2Ir2 (GGA-PBE, Alexandria via LeMat-Bulk).

a b c (Å): 4.401 4.401 10.205
angles (deg): 90.00 90.00 90.00
Space group P4/nmm (No. 129, origin choice 2)
Asymmetric unit:
Ac 0.250 0.250 0.247
As 0.250 0.250 0.637
As 0.250 0.750 0.000
Ir 0.250 0.250 0.883
Ir 0.250 0.750 0.500

Summary:
- calculated total energy (eV per formula unit) = -34.82

11.
# Ac6Ge2PdI3

A relaxed structure of Ac6Ge2PdI3 (GGA-PBE, Alexandria via LeMat-Bulk).

a b c (Å): 20.892 4.528 9.891
angles (deg): 90.00 106.13 90.00
Space group C2/m (No. 12)
Asymmetric unit:
Ac 0.009 0.000 0.215
Ac 0.155 0.500 0.109
Ac 0.177 0.500 0.557
Ge 0.166 0.000 0.334
Pd 0.000 0.500 0.000
I 0.000 0.500 0.500
I 0.171 0.000 0.832

Summary:
- calculated total energy (eV per formula unit) = -55.27
- uncorrected formation energy (meV per atom) = -962

12.
# La3Pm6NdY2

A relaxed structure of La3Pm6NdY2 (GGA-PBE, Alexandria via LeMat-Bulk).

a b c (Å): 6.345 10.997 12.167
angles (deg): 90.00 100.07 90.00
Space group C2/m (No. 12)
Asymmetric unit:
La 0.000 0.000 0.000
La 0.000 0.333 0.000
Pm 0.248 0.000 0.746
Pm 0.249 0.333 0.746
Nd 0.000 0.500 0.500
Y 0.000 0.167 0.500

Summary:
- calculated total energy (eV per formula unit) = -60.78

13.
# SmLuZnCu

A relaxed structure of SmLuZnCu (GGA-PBE, Alexandria via LeMat-Bulk).

a b c (Å): 7.040 7.040 7.040
angles (deg): 90.00 90.00 90.00
Space group F-43m (No. 216)
Asymmetric unit:
Sm 0.000 0.000 0.000
Lu 0.000 0.000 0.500
Zn 0.250 0.250 0.750
Cu 0.250 0.250 0.250

Summary:
- calculated total energy (eV per formula unit) = -15.71

14.
# Ag2SeI

A relaxed structure of Ag2SeI (GGA-PBE, Alexandria via LeMat-Bulk).

a b c (Å): 4.0102 4.0102 21.8014
angles (deg): 90.00 90.00 120.00
Space group R3m (No. 160, hexagonal axes)
Asymmetric unit:
Ag 0.0000 0.0000 0.0000
Ag 0.0000 0.0000 0.1940
Se 0.0000 0.0000 0.5963
I 0.0000 0.0000 0.7692

Summary:
- calculated total energy (eV per formula unit) = -10.66
- energy above the most stable polymorph in this dataset (meV/atom) = 75
- uncorrected formation energy (meV per atom) = 20

15.
# ZnCu2PH7O9

A relaxed structure of ZnCu2PH7O9 (GGA-PBE, Alexandria via LeMat-Bulk).

a b c (Å): 7.570 10.384 9.882
angles (deg): 90.00 101.80 90.00
Space group P2_1/c (No. 14)
Asymmetric unit:
Zn 0.064 0.079 0.207
Cu 0.447 0.250 0.358
Cu 0.491 0.067 0.134
P 0.054 0.201 0.912
H 0.194 0.095 0.711
H 0.231 0.619 0.972
H 0.262 0.687 0.213
H 0.277 0.616 0.519
H 0.302 0.147 0.601
H 0.351 0.681 0.874
H 0.355 0.014 0.345
O 0.024 0.099 0.795
O 0.034 0.669 0.147
O 0.042 0.659 0.471
O 0.260 0.221 0.970
O 0.316 0.097 0.688
O 0.330 0.083 0.272
O 0.349 0.613 0.947
O 0.385 0.713 0.264
O 0.409 0.596 0.538

Summary:
- calculated total energy (eV per formula unit) = -106.88

16.
# Ca2LaGa

A relaxed structure of Ca2LaGa (GGA-PBE, Alexandria via LeMat-Bulk).

a b c (Å): 3.6244 3.6244 35.4703
angles (deg): 90.00 90.00 120.00
Space group R-3m (No. 166, hexagonal axes)
Asymmetric unit:
Ca 0.0000 0.0000 0.1019
La 0.0000 0.0000 0.0000
Ga 0.0000 0.0000 0.5000

Summary:
- calculated total energy (eV per formula unit) = -11.99
- energy above the most stable polymorph in this dataset (meV/atom) = 214

17.
# CsYZr

A relaxed structure of CsYZr (GGA-PBE, Alexandria via LeMat-Bulk).

a b c (Å): 28.355 4.654 4.498
angles (deg): 90.00 90.08 90.00
Space group Cm (No. 8)
Asymmetric unit:
Cs 0.000 0.000 0.000
Cs 0.158 0.500 0.494
Y 0.280 0.000 0.000
Y 0.378 0.000 0.501
Zr 0.297 0.500 0.500
Zr 0.361 0.500 0.000

Summary:
- calculated total energy (eV per formula unit) = -14.90
- energy above the most stable polymorph in this dataset (meV/atom) = 0